No. 1
OsCl3 | PBEsol | relaxed

Cell and atoms, written as POSCAR:
```
OsCl3
1.0
8.430 0.000 0.000
-4.215 7.300 0.000
0.000 0.000 3.209
Os Cl
3 9
direct
0.000 0.000 0.000
0.333 0.667 0.667
0.667 0.333 0.333
0.000 0.500 0.000
0.167 0.333 0.333
0.167 0.833 0.333
0.333 0.167 0.667
0.500 0.000 0.000
0.500 0.500 0.000
0.667 0.833 0.333
0.833 0.167 0.667
0.833 0.667 0.667
```

Properties
energy relative to the elements, uncorrected: 1.2172 eV/atom
space-group type: R-3m (166)
N(E_F): 5.455 states/eV/f.u.

No. 2
Os2Cl | PBEsol | relaxed

Cell and atoms, written as POSCAR:
```
Os2Cl
1.0
3.995 0.000 0.000
0.000 3.995 0.000
0.000 0.000 2.820
Os Cl
2 1
direct
0.000 0.500 0.000
0.500 0.000 0.000
0.000 0.000 0.500
```

Properties
energy relative to the elements, uncorrected: 2.0176 eV/atom
space-group type: P4/mmm (123)
N(E_F): 3.344 states/eV/f.u.

No. 3
Os2Cl | PBEsol | relaxed

Cell and atoms, written as POSCAR:
```
Os2Cl
1.0
8.721 0.000 0.000
0.000 2.786 0.000
-0.494 0.000 9.902
Os Cl
8 4
direct
0.093 0.000 0.170
0.131 0.500 0.953
0.369 0.000 0.047
0.407 0.500 0.830
0.593 0.500 0.170
0.631 0.000 0.953
0.869 0.500 0.047
0.907 0.000 0.830
0.125 0.500 0.365
0.375 0.000 0.635
0.625 0.000 0.365
0.875 0.500 0.635
```

Properties
energy relative to the elements, uncorrected: 0.4176 eV/atom
space-group type: C2/m (12)
N(E_F): 2.531 states/eV/f.u.

No. 4
OsCl2 | PBEsol | relaxed

Cell and atoms, written as POSCAR:
```
OsCl2
1.0
3.555 0.000 0.000
0.000 13.794 0.000
0.000 0.000 4.977
Os Cl
4 8
direct
0.000 0.211 0.250
0.000 0.789 0.750
0.500 0.289 0.750
0.500 0.711 0.250
0.000 0.176 0.750
0.000 0.401 0.750
0.000 0.599 0.250
0.000 0.824 0.250
0.500 0.099 0.250
0.500 0.324 0.250
0.500 0.676 0.750
0.500 0.901 0.750
```

Properties
energy relative to the elements, uncorrected: 0.3199 eV/atom
space-group type: Cmcm (63)
N(E_F): 0.897 states/eV/f.u.

Number 1: total energy -0.123 Ha/atom. Number 2: total energy -0.250 Ha/atom. Number 3: total energy -0.309 Ha/atom. Number 4: total energy -0.187 Ha/atom.